# 1
Compound: K2MnI2
Source: the Alexandria database
Functional: PBE-GGA
Structure: optimized geometry

Cell lengths 9.8591, 9.8591, 4.3686 Å; angles 90.00, 90.00, 90.00 degrees
Atoms (fractional coordinates):
K 0.1433 0.3567 0.0000
K 0.3567 0.8567 0.0000
K 0.6433 0.1433 0.0000
K 0.8567 0.6433 0.0000
Mn 0.0000 0.0000 0.0000
Mn 0.5000 0.5000 0.0000
I 0.1561 0.6561 0.5000
I 0.3439 0.1561 0.5000
I 0.6561 0.8439 0.5000
I 0.8439 0.3439 0.5000

Properties
Polymorph energy (0 for the lowest one): 0 kJ/mol of formula units
Magnetic moment: 5.00 μB/f.u.
Density: 3.0 Mg/m³
Formation energy without anion corrections: -0.411 eV/atom



# 2
Compound: RbPaTeS6
Source: the Alexandria database
Functional: PBE-GGA
Structure: optimized geometry

Cell lengths 8.9133, 8.9133, 8.9133 Å; angles 120.11, 114.53, 94.77 degrees
Atoms (fractional coordinates):
Rb 0.4011 0.1511 0.2500
Rb 0.5989 0.8489 0.7500
Pa 0.0000 0.0000 0.5000
Pa 0.0000 0.5000 0.0000
Te 0.0000 0.5000 0.5000
Te 0.5000 0.5000 0.0000
S 0.1173 0.8673 0.2500
S 0.1578 0.4078 0.7500
S 0.1792 0.4408 0.2947
S 0.1792 0.8845 0.7385
S 0.3539 0.1155 0.7947
S 0.3539 0.5592 0.2385
S 0.6461 0.4408 0.7615
S 0.6461 0.8845 0.2053
S 0.8208 0.1155 0.2615
S 0.8208 0.5592 0.7053
S 0.8422 0.5922 0.2500
S 0.8827 0.1327 0.7500

Properties
Magnetic moment: 0.00 μB/f.u.
Density: 4.1 Mg/m³
Formation energy without anion corrections: -0.778 eV/atom



# 3
Compound: Mg6CrCo
Source: the Alexandria database
Functional: PBE-GGA
Structure: optimized geometry

Cell lengths 4.8108, 6.0044, 10.5536 Å; angles 90.00, 90.00, 90.00 degrees
Atoms (fractional coordinates):
Mg 0.0000 0.0000 0.0000
Mg 0.0000 0.0000 0.4948
Mg 0.0000 0.2437 0.2329
Mg 0.0000 0.2563 0.7329
Mg 0.0000 0.5000 0.5000
Mg 0.0000 0.5000 0.9948
Mg 0.0000 0.7437 0.7329
Mg 0.0000 0.7563 0.2329
Mg 0.5000 0.2492 0.4006
Mg 0.5000 0.2508 0.9006
Mg 0.5000 0.7492 0.9006
Mg 0.5000 0.7508 0.4006
Cr 0.5000 0.0000 0.6520
Cr 0.5000 0.5000 0.1520
Co 0.5000 0.0000 0.1502
Co 0.5000 0.5000 0.6502

Properties
Magnetic moment: 4.82 μB/f.u.
Density: 2.8 Mg/m³
Energy relative to the elements: 240 meV/atom



# 4
Compound: Ca2In5PdPt2
Source: the Alexandria database
Functional: PBE-GGA
Structure: optimized geometry

Cell lengths 10.3705, 10.3705, 4.1518 Å; angles 90.00, 90.00, 90.00 degrees
Atoms (fractional coordinates):
Ca 0.1755 0.3245 0.0000
Ca 0.3245 0.8245 0.0000
Ca 0.6755 0.1755 0.0000
Ca 0.8245 0.6755 0.0000
In 0.0000 0.5000 0.5000
In 0.0645 0.8034 0.5000
In 0.1966 0.0645 0.5000
In 0.3034 0.5645 0.5000
In 0.4355 0.3034 0.5000
In 0.5000 0.0000 0.5000
In 0.5645 0.6966 0.5000
In 0.6966 0.4355 0.5000
In 0.8034 0.9355 0.5000
In 0.9355 0.1966 0.5000
Pd 0.0000 0.0000 0.0000
Pd 0.5000 0.5000 0.0000
Pt 0.1244 0.6244 0.0000
Pt 0.3756 0.1244 0.0000
Pt 0.6244 0.8756 0.0000
Pt 0.8756 0.3756 0.0000

Properties
Magnetic moment: 0.00 μB/f.u.
Density: 8.6 Mg/m³
Energy relative to the elements: -550 meV/atom